(1)
Entry from OQMD: a relaxed structure of YZn2Ga (GGA-PBE).

Uncorrected energy = -3.29 eV/atom
V = 300.1 Å³/cell

a b c (Å): 6.695 6.695 6.695
angles (deg): 90.00 90.00 90.00
Space group F-43m (No. 216)
Inequivalent atoms, fractional coordinates:
Y: 0.000 0.000 0.000 (multiplicity 4)
Zn: 0.000 0.000 0.500 (multiplicity 4)
Zn: 0.250 0.250 0.750 (multiplicity 4)
Ga: 0.250 0.250 0.250 (multiplicity 4)



(2)
Entry from OQMD: a relaxed structure of La2Cd4CoPd (GGA-PBE).

Energy relative to the elements = -398 meV/atom
V = 362.3 Å³/cell

a b c (Å): 8.340 4.364 9.953
angles (deg): 90.00 90.00 90.00
Space group Amm2 (No. 38)
Inequivalent atoms, fractional coordinates:
La: 0.000 0.000 0.000 (multiplicity 2)
La: 0.500 0.000 0.109 (multiplicity 2)
Cd: 0.195 0.000 0.697 (multiplicity 4)
Cd: 0.288 0.000 0.398 (multiplicity 4)
Co: 0.000 0.000 0.243 (multiplicity 2)
Pd: 0.500 0.000 0.827 (multiplicity 2)



(3)
Entry from OQMD: a relaxed structure of Ba2Li3SmPb3 (GGA-PBE).

Uncorrected energy = -3.30 eV/atom
V = 278.8 Å³/cell

a b c (Å): 5.0663 5.0663 12.5429
angles (deg): 90.00 90.00 120.00
Space group P-6m2 (No. 187)
Inequivalent atoms, fractional coordinates:
Ba: 0.0000 0.0000 0.1679 (multiplicity 2)
Li: 0.3333 0.6667 0.0000 (multiplicity 1)
Li: 0.6667 0.3333 0.3484 (multiplicity 2)
Sm: 0.0000 0.0000 0.5000 (multiplicity 1)
Pb: 0.3333 0.6667 0.3708 (multiplicity 2)
Pb: 0.6667 0.3333 0.0000 (multiplicity 1)



(4)
Entry from OQMD: a relaxed structure of Nd12Re5C15 (GGA-PBE).

Uncorrected energy = -8.30 eV/atom
V = 560.1 Å³/cell

a b c (Å): 11.0078 11.0078 5.3376
angles (deg): 90.00 90.00 120.00
Space group P-62m (No. 189)
Inequivalent atoms, fractional coordinates:
Nd: 0.0000 0.4235 0.0000 (multiplicity 3)
Nd: 0.0000 0.7950 0.0000 (multiplicity 3)
Nd: 0.1871 0.7294 0.5000 (multiplicity 6)
Re: 0.0000 0.1520 0.5000 (multiplicity 3)
Re: 0.3333 0.6667 0.0000 (multiplicity 2)
C: 0.0000 0.3285 0.5000 (multiplicity 3)
C: 0.0000 0.4513 0.5000 (multiplicity 3)
C: 0.0000 0.7920 0.5000 (multiplicity 3)
C: 0.1893 0.7159 0.0000 (multiplicity 6)



(5)
Entry from OQMD: a relaxed structure of DyTcAsO (GGA-PBE).

Energy above the lowest structure with this stoichiometry = 545 meV per atom
V = 143.3 Å³/cell

a b c (Å): 4.090 6.186 5.666
angles (deg): 90.00 90.00 90.00
Space group Pmc2_1 (No. 26)
Inequivalent atoms, fractional coordinates:
Dy: 0.000 0.178 0.000 (multiplicity 2)
Tc: 0.500 0.466 0.768 (multiplicity 2)
As: 0.000 0.314 0.513 (multiplicity 2)
O: 0.500 0.253 0.064 (multiplicity 2)



(6)
Entry from OQMD: a relaxed structure of LiIn2Pt (GGA-PBE).

Energy above the lowest structure with this stoichiometry = 0 meV per atom
V = 144.5 Å³/cell

a b c (Å): 4.670 4.684 6.606
angles (deg): 90.00 90.00 90.00
Space group Immm (No. 71)
Inequivalent atoms, fractional coordinates:
Li: 0.000 0.000 0.000 (multiplicity 2)
In: 0.000 0.500 0.250 (multiplicity 4)
Pt: 0.000 0.000 0.500 (multiplicity 2)